Version one
Computed, not measured: YZr2In after structural relaxation at the PBE-GGA level of DFT.

Lattice parameters (Å, degrees): 3.241 3.241 9.469 90.00 90.00 90.00
Atoms (fractional coordinates):
Y 0.000 0.000 0.000
Zr 0.000 0.000 0.509
Zr 0.500 0.500 0.275
In 0.500 0.500 0.746

Computed properties:
- total moment (μB per atom) = 0.00


Version two
Computed, not measured: YZr2In after structural relaxation at the PBE-GGA level of DFT.

Lattice parameters (Å, degrees): 4.572 4.572 4.613 90.00 90.00 90.00
Atoms (fractional coordinates):
Y 0.000 0.000 0.000
Zr 0.000 0.500 0.500
Zr 0.500 0.000 0.500
In 0.500 0.500 0.000

Computed properties:
- total moment (μB per atom) = 0.00


Version three
Computed, not measured: YZr2In after structural relaxation at the PBE-GGA level of DFT.

Lattice parameters (Å, degrees): 3.237 5.476 5.674 90.00 96.60 90.00
Atoms (fractional coordinates):
Y 0.000 0.000 0.000
Zr 0.313 0.500 0.737
Zr 0.687 0.500 0.263
In 0.500 0.000 0.500

Computed properties:
- total moment (μB per atom) = 0.00


Version four
Computed, not measured: YZr2In after structural relaxation at the PBE-GGA level of DFT.

Lattice parameters (Å, degrees): 5.696 5.696 3.218 90.00 90.00 110.15
Atoms (fractional coordinates):
Y 0.000 0.000 0.000
Zr 0.000 0.500 0.500
Zr 0.500 0.000 0.500
In 0.500 0.500 0.000

Computed properties:
- total moment (μB per atom) = 0.00


Relative energies with respect to the most stable structure, expressed in kJ/mol of atoms: version one 2.7; version two 0.0; version three 10.5; version four 13.8.


Version one
Computed, not measured: YZr2In2 after structural relaxation at the PBE-GGA level of DFT.

Lattice parameters (Å, degrees): 7.355 7.355 7.355 144.41 144.41 51.22
Atoms (fractional coordinates):
Y 0.000 0.000 0.000
Zr 0.398 0.398 0.000
Zr 0.602 0.602 0.000
In 0.250 0.750 0.500
In 0.750 0.250 0.500

Computed properties:
- total moment (μB per atom) = 0.16


Version two
Computed, not measured: YZr2In2 after structural relaxation at the PBE-GGA level of DFT.

Lattice parameters (Å, degrees): 8.260 8.260 3.620 90.00 90.00 90.00
Atoms (fractional coordinates):
Y 0.000 0.000 0.000
Y 0.500 0.500 0.000
Zr 0.174 0.326 0.500
Zr 0.326 0.826 0.500
Zr 0.674 0.174 0.500
Zr 0.826 0.674 0.500
In 0.126 0.626 0.000
In 0.374 0.126 0.000
In 0.626 0.874 0.000
In 0.874 0.374 0.000

Computed properties:
- total moment (μB per atom) = 0.00


Relative energies with respect to the most stable structure, expressed in kJ/mol of atoms: version one 37.5; version two 0.0.


Version one
Computed, not measured: YZr3In after structural relaxation at the PBE-GGA level of DFT.

Lattice parameters (Å, degrees): 5.211 5.211 5.211 90.00 90.00 90.00
Atoms (fractional coordinates):
Y 0.000 0.000 0.000
Zr 0.000 0.000 0.500
Zr 0.000 0.500 0.000
Zr 0.500 0.000 0.000
In 0.500 0.500 0.500

Computed properties:
- total moment (μB per atom) = 0.21


Version two
Computed, not measured: YZr3In after structural relaxation at the PBE-GGA level of DFT.

Lattice parameters (Å, degrees): 5.356 5.356 5.356 90.00 90.00 90.00
Atoms (fractional coordinates):
Y 0.000 0.000 0.000
Zr 0.000 0.500 0.500
Zr 0.500 0.000 0.500
Zr 0.500 0.500 0.000
In 0.500 0.500 0.500

Computed properties:
- total moment (μB per atom) = 0.49


Relative energies with respect to the most stable structure, expressed in kJ/mol of atoms: version one 40.8; version two 0.0.


Version one
Computed, not measured: ZnIn4 after structural relaxation at the PBE-GGA level of DFT.

Lattice parameters (Å, degrees): 11.871 11.850 3.265 82.46 81.72 15.82
Atoms (fractional coordinates):
Zn 0.000 0.000 0.000
In 0.195 0.195 0.805
In 0.414 0.414 0.586
In 0.586 0.586 0.414
In 0.805 0.805 0.195

Computed properties:
- total moment (μB per atom) = 0.00


Version two
Computed, not measured: ZnIn4 after structural relaxation at the PBE-GGA level of DFT.

Lattice parameters (Å, degrees): 5.267 5.267 5.267 90.00 90.00 90.00
Atoms (fractional coordinates):
Zn 0.000 0.000 0.000
In 0.000 0.000 0.500
In 0.000 0.500 0.000
In 0.500 0.000 0.000
In 0.500 0.500 0.500

Computed properties:
- total moment (μB per atom) = 0.00


Relative energies with respect to the most stable structure, expressed in kJ/mol of atoms: version one 0.0; version two 17.4.


Version one
Computed, not measured: ZnIn4 after structural relaxation at the PBE-GGA level of DFT.

Lattice parameters (Å, degrees): 5.718 5.718 5.718 99.04 99.04 133.28
Atoms (fractional coordinates):
Zn 0.000 0.000 0.000
In 0.207 0.399 0.607
In 0.399 0.793 0.192
In 0.601 0.207 0.808
In 0.793 0.601 0.393

Computed properties:
- total moment (μB per atom) = 0.00


Version two
Computed, not measured: ZnIn4 after structural relaxation at the PBE-GGA level of DFT.

Lattice parameters (Å, degrees): 5.646 5.646 5.646 109.47 109.47 109.47
Atoms (fractional coordinates):
Zn 0.000 0.000 0.000
In 0.000 0.000 0.500
In 0.000 0.500 0.000
In 0.500 0.000 0.000
In 0.500 0.500 0.500

Computed properties:
- total moment (μB per atom) = 0.00


Relative energies with respect to the most stable structure, expressed in kJ/mol of atoms: version one 0.0; version two 5.9.


Version one
Computed, not measured: Zn3In5 after structural relaxation at the PBE-GGA level of DFT.

Lattice parameters (Å, degrees): 8.306 8.306 6.291 90.00 90.00 120.00
Atoms (fractional coordinates):
Zn 0.000 0.404 0.250
Zn 0.000 0.596 0.750
Zn 0.404 0.000 0.250
Zn 0.404 0.404 0.750
Zn 0.596 0.000 0.750
Zn 0.596 0.596 0.250
In 0.000 0.232 0.750
In 0.000 0.768 0.250
In 0.232 0.000 0.750
In 0.232 0.232 0.250
In 0.333 0.667 0.000
In 0.333 0.667 0.500
In 0.667 0.333 0.000
In 0.667 0.333 0.500
In 0.768 0.000 0.250
In 0.768 0.768 0.750

Computed properties:
- total moment (μB per atom) = 0.00


Version two
Computed, not measured: Zn3In5 after structural relaxation at the PBE-GGA level of DFT.

Lattice parameters (Å, degrees): 6.079 8.032 8.112 84.78 75.39 75.90
Atoms (fractional coordinates):
Zn 0.189 0.494 0.192
Zn 0.265 0.005 0.993
Zn 0.301 0.810 0.504
Zn 0.699 0.190 0.496
Zn 0.735 0.995 0.007
Zn 0.811 0.506 0.808
In 0.042 0.126 0.704
In 0.131 0.708 0.877
In 0.251 0.455 0.544
In 0.363 0.128 0.303
In 0.450 0.311 0.873
In 0.550 0.689 0.127
In 0.637 0.872 0.697
In 0.749 0.545 0.456
In 0.869 0.292 0.123
In 0.958 0.874 0.296

Computed properties:
- total moment (μB per atom) = 0.00


Relative energies with respect to the most stable structure, expressed in kJ/mol of atoms: version one 2.1; version two 0.0.


Version one
Computed, not measured: ZrZnIn3 after structural relaxation at the PBE-GGA level of DFT.

Lattice parameters (Å, degrees): 5.692 5.692 5.692 90.00 90.00 90.00
Atoms (fractional coordinates):
Zr 0.000 0.000 0.000
Zn 0.500 0.500 0.500
In 0.000 0.000 0.500
In 0.000 0.500 0.000
In 0.500 0.000 0.000

Computed properties:
- total moment (μB per atom) = 0.00


Version two
Computed, not measured: ZrZnIn3 after structural relaxation at the PBE-GGA level of DFT.

Lattice parameters (Å, degrees): 5.060 5.060 5.060 90.00 90.00 90.00
Atoms (fractional coordinates):
Zr 0.000 0.000 0.000
Zn 0.500 0.500 0.500
In 0.000 0.500 0.500
In 0.500 0.000 0.500
In 0.500 0.500 0.000

Computed properties:
- total moment (μB per atom) = 0.00


Relative energies with respect to the most stable structure, expressed in kJ/mol of atoms: version one 17.1; version two 0.0.


Version one
Computed, not measured: Zr4ZnIn after structural relaxation at the PBE-GGA level of DFT.

Lattice parameters (Å, degrees): 5.767 5.767 5.767 60.00 60.00 60.00
Atoms (fractional coordinates):
Zr 0.125 0.125 0.125
Zr 0.125 0.125 0.625
Zr 0.125 0.625 0.125
Zr 0.625 0.125 0.125
Zn 0.500 0.500 0.500
In 0.750 0.750 0.750

Computed properties:
- total moment (μB per atom) = 0.00


Version two
Computed, not measured: Zr4ZnIn after structural relaxation at the PBE-GGA level of DFT.

Lattice parameters (Å, degrees): 6.898 6.898 5.496 90.00 90.00 90.00
Atoms (fractional coordinates):
Zr 0.141 0.341 0.000
Zr 0.141 0.659 0.500
Zr 0.341 0.141 0.500
Zr 0.341 0.859 0.000
Zr 0.659 0.141 0.000
Zr 0.659 0.859 0.500
Zr 0.859 0.341 0.500
Zr 0.859 0.659 0.000
Zn 0.000 0.000 0.250
Zn 0.000 0.000 0.750
In 0.500 0.500 0.250
In 0.500 0.500 0.750

Computed properties:
- total moment (μB per atom) = 0.00


Version three
Computed, not measured: Zr4ZnIn after structural relaxation at the PBE-GGA level of DFT.

Lattice parameters (Å, degrees): 5.621 5.621 6.589 106.94 106.94 40.82
Atoms (fractional coordinates):
Zr 0.158 0.158 0.341
Zr 0.164 0.164 0.822
Zr 0.836 0.836 0.178
Zr 0.842 0.842 0.659
Zn 0.500 0.500 0.500
In 0.500 0.500 0.000

Computed properties:
- total moment (μB per atom) = 0.00


Relative energies with respect to the most stable structure, expressed in kJ/mol of atoms: version one 42.8; version two 4.7; version three 0.0.